Run a
A plane-wave DFT calculation with PBE was carried out for a relaxed Cs2RbSBr crystal.

Unit cell a=8.524 b=8.524 c=11.744 alpha=90.00 beta=90.00 gamma=145.81
Fractional coordinates of all 10 atoms:
Cs  0.134  0.866  0.556
Cs  0.134  0.866  0.944
Cs  0.866  0.134  0.056
Cs  0.866  0.134  0.444
Rb  0.418  0.582  0.750
Rb  0.582  0.418  0.250
S  0.500  0.500  0.000
S  0.500  0.500  0.500
Br  0.233  0.767  0.250
Br  0.767  0.233  0.750

## Properties
space group = Cmcm (63)

=====

Run b
A plane-wave DFT calculation with PBE was carried out for a relaxed Cs2RbSBr crystal.

Unit cell a=6.685 b=6.685 c=6.287 alpha=90.00 beta=90.00 gamma=90.00
Fractional coordinates of all 5 atoms:
Cs  0.000  0.500  0.000
Cs  0.500  0.000  0.000
Rb  0.000  0.000  0.500
S  0.000  0.000  0.000
Br  0.500  0.500  0.500

## Properties
space group = P4/mmm (123)

=====

The winner here is run a, beating the second structure by 105 meV/atom.